DFT (PBE-GGA) results for crystalline NaTeI2Cl at its relaxed geometry.

Lattice parameters (Å, degrees): 5.912 5.912 5.464 90.00 90.00 90.00
Element x y z (fractional)
I 0.000 0.500 0.000
Te 0.000 0.000 0.500
Na 0.500 0.500 0.500
Cl 0.000 0.000 0.000
I 0.500 0.000 0.000

Results
Mass density ... 3.82 g/cm³
Crystal system ... tetragonal
Polymorph energy (0 for the lowest one) ... 0.000 kcal/mol of atoms
Symmetry ... P4/mmm

---

DFT (PBE-GGA) results for crystalline NaTi2ICl at its relaxed geometry.

Lattice parameters (Å, degrees): 5.262 5.262 6.225 90.00 90.00 90.00
Element x y z (fractional)
Ti 0.500 0.000 0.000
I 0.000 0.000 0.000
Na 0.000 0.000 0.500
Cl 0.500 0.500 0.500
Ti 0.000 0.500 0.000

Results
Mass density ... 2.71 g/cm³
Crystal system ... tetragonal
Symmetry ... P4/mmm
Electronic total energy ... -3.5370 eV per atom